No. 1
Density functional theory data (GGA-PBE) for a relaxed PaCuHg crystal.

Cell lengths 4.805, 4.805, 4.805 Å; angles 60.00, 60.00, 60.00 degrees
Atoms (fractional coordinates):
Pa  0.000  0.000  0.000
Cu  0.750  0.750  0.750
Hg  0.250  0.250  0.250

Values from the calculation:
Theoretical density, g cm⁻³: 10.5
Formation energy from the elements, eV/atom: 0.7624
Symmetry: F-43m, No. 216
Magnetic moment, μB per cell: 0.68
Polymorph energy (0 for the lowest one), kJ/mol of formula units: 117

=====

No. 2
Density functional theory data (GGA-PBE) for a relaxed CuHgPdPb crystal.

Cell lengths 4.770, 4.770, 4.770 Å; angles 60.00, 60.00, 60.00 degrees
Atoms (fractional coordinates):
Cu  0.000  0.000  0.000
Hg  0.250  0.250  0.250
Pd  0.500  0.500  0.500
Pb  0.750  0.750  0.750

Values from the calculation:
Theoretical density, g cm⁻³: 12.5
Symmetry: F-43m, No. 216
Polymorph energy (0 for the lowest one), kJ/mol of formula units: 0

=====

No. 3
Density functional theory data (GGA-PBE) for a relaxed CuHgPdPb crystal.

Cell lengths 4.814, 4.814, 4.814 Å; angles 60.00, 60.00, 60.00 degrees
Atoms (fractional coordinates):
Cu  0.000  0.000  0.000
Hg  0.500  0.500  0.500
Pd  0.250  0.250  0.250
Pb  0.750  0.750  0.750

Values from the calculation:
Theoretical density, g cm⁻³: 12.2
Symmetry: F-43m, No. 216
Polymorph energy (0 for the lowest one), kJ/mol of formula units: 30

=====

No. 4
Density functional theory data (GGA-PBE) for a relaxed CuReHgPb crystal.

Cell lengths 4.831, 4.831, 4.831 Å; angles 60.00, 60.00, 60.00 degrees
Atoms (fractional coordinates):
Cu  0.000  0.000  0.000
Re  0.250  0.250  0.250
Hg  0.500  0.500  0.500
Pb  0.750  0.750  0.750

Values from the calculation:
Theoretical density, g cm⁻³: 13.7
Symmetry: F-43m, No. 216
Magnetic moment, μB per cell: 2.57
Polymorph energy (0 for the lowest one), kJ/mol of formula units: 80